(1)
# PBE-GGA Pr2Dy3Y6, optimized geometry
# - Fermi-level density of states: 1.704 states/eV/atom
# - Energy above the lowest structure with this stoichiometry: 0 meV/atom
# - Total moment: 0.000 μB per formula unit
# - Calculated formation energy: 183.6 meV/atom
data_Pr2Dy3Y6
_cell_length_a 6.1555
_cell_length_b 10.6754
_cell_length_c 11.7726
_cell_angle_alpha 90.00
_cell_angle_beta 100.12
_cell_angle_gamma 90.00
_space_group_name_H-M_alt 'C 1 2/m 1'
_space_group_IT_number 12
_space_group_name_Hall '-C 2y'
loop_
_atom_site_label
_atom_site_fract_x
_atom_site_fract_y
_atom_site_fract_z
Pr1 0.0000 0.1668 0.0000
Dy1 0.0000 0.0000 0.5000
Dy2 0.0000 0.3351 0.5000
Y1 0.2492 0.1665 0.7468
Y2 0.2487 0.5000 0.7467

(2)
# PBE-GGA Pr2Dy2Y, optimized geometry
# - Fermi-level density of states: 1.522 states/eV/atom
# - Energy above the lowest structure with this stoichiometry: 269 meV/atom
# - Total moment: 0.000 μB per formula unit
# - Calculated formation energy: 290.1 meV/atom
data_Pr2Dy2Y
_cell_length_a 6.9033
_cell_length_b 16.4167
_cell_length_c 6.3001
_cell_angle_alpha 90.00
_cell_angle_beta 90.00
_cell_angle_gamma 90.00
_space_group_name_H-M_alt 'C m c m'
_space_group_IT_number 63
_space_group_name_Hall '-C 2c 2'
loop_
_atom_site_label
_atom_site_fract_x
_atom_site_fract_y
_atom_site_fract_z
Pr1 0.0000 0.1004 0.2500
Pr2 0.0000 0.3293 0.7500
Dy1 0.2392 0.3293 0.2500
Y1 0.0000 0.5000 0.0000

(3)
# PBE-GGA Pr5Dy3Y2, optimized geometry
# - Fermi-level density of states: 1.470 states/eV/atom
# - Energy above the lowest structure with this stoichiometry: 122 meV/atom
# - Total moment: 0.000 μB per formula unit
# - Calculated formation energy: 292.8 meV/atom
data_Pr5Dy3Y2
_cell_length_a 12.2846
_cell_length_b 17.4014
_cell_length_c 6.5309
_cell_angle_alpha 90.00
_cell_angle_beta 90.00
_cell_angle_gamma 90.00
_space_group_name_H-M_alt 'I b a m'
_space_group_IT_number 72
_space_group_name_Hall '-I 2 2c'
loop_
_atom_site_label
_atom_site_fract_x
_atom_site_fract_y
_atom_site_fract_z
Pr1 0.0000 0.0000 0.2500
Pr2 0.0870 0.3312 0.0000
Pr3 0.2471 0.5000 0.2500
Dy1 0.0000 0.5000 0.2500
Dy2 0.2386 0.1689 0.0000
Y1 0.0932 0.1696 0.5000

(4)
# PBE-GGA Pr12DyY3, optimized geometry
# - Fermi-level density of states: 1.524 states/eV/atom
# - Total moment: 0.000 μB per formula unit
# - Calculated formation energy: 9.9 meV/atom
data_Pr12DyY3
_cell_length_a 5.2033
_cell_length_b 5.2033
_cell_length_c 20.7489
_cell_angle_alpha 90.00
_cell_angle_beta 90.00
_cell_angle_gamma 90.00
_space_group_name_H-M_alt 'P 4/m m m'
_space_group_IT_number 123
_space_group_name_Hall '-P 4 2'
loop_
_atom_site_label
_atom_site_fract_x
_atom_site_fract_y
_atom_site_fract_z
Pr1 0.0000 0.0000 0.0000
Pr2 0.0000 0.0000 0.2495
Pr3 0.0000 0.0000 0.5000
Pr4 0.0000 0.5000 0.1244
Pr5 0.0000 0.5000 0.3748
Dy1 0.5000 0.5000 0.0000
Y1 0.5000 0.5000 0.2497
Y2 0.5000 0.5000 0.5000

(5)
# PBE-GGA Pr12Dy2Y, optimized geometry
# - Fermi-level density of states: 1.462 states/eV/atom
# - Total moment: 0.000 μB per formula unit
# - Calculated formation energy: 152.9 meV/atom
data_Pr12Dy2Y
_cell_length_a 7.2616
_cell_length_b 11.7508
_cell_length_c 25.2466
_cell_angle_alpha 90.00
_cell_angle_beta 90.00
_cell_angle_gamma 90.00
_space_group_name_H-M_alt 'C m m e'
_space_group_IT_number 67
_space_group_name_Hall '-C 2a 2'
loop_
_atom_site_label
_atom_site_fract_x
_atom_site_fract_y
_atom_site_fract_z
Pr1 0.0000 0.0019 0.0736
Pr2 0.0000 0.0243 0.5602
Pr3 0.2300 0.2500 0.4152
Pr4 0.2485 0.2500 0.8692
Pr5 0.2500 0.0000 0.1987
Pr6 0.2500 0.0000 0.3244
Dy1 0.0000 0.2500 0.2675
Dy2 0.0000 0.2500 0.7284
Y1 0.0000 0.2500 0.9991

(6)
# PBE-GGA Pr2Dy2Y, optimized geometry
# - Fermi-level density of states: 1.750 states/eV/atom
# - Energy above the lowest structure with this stoichiometry: 0 meV/atom
# - Total moment: 0.000 μB per formula unit
# - Calculated formation energy: 21.1 meV/atom
data_Pr2Dy2Y
_cell_length_a 15.9803
_cell_length_b 6.3815
_cell_length_c 6.8586
_cell_angle_alpha 90.00
_cell_angle_beta 104.05
_cell_angle_gamma 90.00
_space_group_name_H-M_alt 'C 1 2/c 1'
_space_group_IT_number 15
_space_group_name_Hall '-C 2yc'
loop_
_atom_site_label
_atom_site_fract_x
_atom_site_fract_y
_atom_site_fract_z
Pr1 0.2000 0.0873 0.1541
Dy1 0.0970 0.4181 0.4511
Y1 0.0000 0.0846 0.7500

(7)
# PBE-GGA PrDy4Y, optimized geometry
# - Fermi-level density of states: 1.942 states/eV/atom
# - Energy above the lowest structure with this stoichiometry: 235 meV/atom
# - Total moment: 0.898 μB per formula unit
# - Calculated formation energy: 256.4 meV/atom
data_PrDy4Y
_cell_length_a 9.3514
_cell_length_b 9.3514
_cell_length_c 9.3514
_cell_angle_alpha 90.00
_cell_angle_beta 90.00
_cell_angle_gamma 90.00
_space_group_name_H-M_alt 'F -4 3 m'
_space_group_IT_number 216
_space_group_name_Hall 'F -4 2 3'
loop_
_atom_site_label
_atom_site_fract_x
_atom_site_fract_y
_atom_site_fract_z
Pr1 0.0000 0.0000 0.0000
Dy1 0.1247 0.1247 0.3753
Y1 0.2500 0.2500 0.7500

(8)
# PBE-GGA Pr7DyY3, optimized geometry
# - Fermi-level density of states: 1.580 states/eV/atom
# - Energy above the lowest structure with this stoichiometry: 0 meV/atom
# - Total moment: 0.000 μB per formula unit
# - Calculated formation energy: 177.5 meV/atom
data_Pr7DyY3
_cell_length_a 7.2637
_cell_length_b 7.2637
_cell_length_c 8.7881
_cell_angle_alpha 90.00
_cell_angle_beta 90.00
_cell_angle_gamma 120.00
_space_group_name_H-M_alt 'P 3 m 1'
_space_group_IT_number 156
_space_group_name_Hall 'P 3 -2"'
loop_
_atom_site_label
_atom_site_fract_x
_atom_site_fract_y
_atom_site_fract_z
Pr1 0.0000 0.0000 0.0000
Pr2 0.1666 0.3333 0.6684
Pr3 0.5004 0.0008 0.0171
Dy1 0.6667 0.3333 0.6830
Y1 0.3350 0.1675 0.3448

(9)
# PBE-GGA Pr2Dy2Y15, optimized geometry
# - Fermi-level density of states: 1.764 states/eV/atom
# - Total moment: 0.000 μB per formula unit
# - Calculated formation energy: 299.7 meV/atom
data_Pr2Dy2Y15
_cell_length_a 11.2566
_cell_length_b 11.2566
_cell_length_c 17.7771
_cell_angle_alpha 90.00
_cell_angle_beta 90.00
_cell_angle_gamma 120.00
_space_group_name_H-M_alt 'R -3 m'
_space_group_IT_number 166
_space_group_name_Hall '-R 3 2"'
loop_
_atom_site_label
_atom_site_fract_x
_atom_site_fract_y
_atom_site_fract_z
Pr1 0.0000 0.0000 0.1151
Dy1 0.0000 0.0000 0.3257
Y1 0.0000 0.3027 0.0000
Y2 0.0000 0.5000 0.5000
Y3 0.0165 0.5082 0.1370

(10)
# PBE-GGA Pr2Dy7Y3, optimized geometry
# - Fermi-level density of states: 1.483 states/eV/atom
# - Energy above the lowest structure with this stoichiometry: 0 meV/atom
# - Total moment: 0.000 μB per formula unit
# - Calculated formation energy: 75.8 meV/atom
data_Pr2Dy7Y3
_cell_length_a 6.3668
_cell_length_b 3.5352
_cell_length_c 17.5307
_cell_angle_alpha 90.00
_cell_angle_beta 96.07
_cell_angle_gamma 90.00
_space_group_name_H-M_alt 'P 1 2/m 1'
_space_group_IT_number 10
_space_group_name_Hall '-P 2y'
loop_
_atom_site_label
_atom_site_fract_x
_atom_site_fract_y
_atom_site_fract_z
Pr1 0.0588 0.0000 0.1729
Dy1 0.0000 0.5000 0.5000
Dy2 0.2268 0.0000 0.6659
Dy3 0.2566 0.0000 0.9988
Dy4 0.2746 0.5000 0.3368
Y1 0.4518 0.5000 0.8420
Y2 0.5000 0.0000 0.5000

(11)
# PBE-GGA Pr6DyY, optimized geometry
# - Fermi-level density of states: 1.675 states/eV/atom
# - Energy above the lowest structure with this stoichiometry: 0 meV/atom
# - Total moment: 0.000 μB per formula unit
# - Calculated formation energy: 12.6 meV/atom
data_Pr6DyY
_cell_length_a 5.1969
_cell_length_b 5.1969
_cell_length_c 10.3937
_cell_angle_alpha 90.00
_cell_angle_beta 90.00
_cell_angle_gamma 90.00
_space_group_name_H-M_alt 'P 4/m m m'
_space_group_IT_number 123
_space_group_name_Hall '-P 4 2'
loop_
_atom_site_label
_atom_site_fract_x
_atom_site_fract_y
_atom_site_fract_z
Pr1 0.0000 0.0000 0.0000
Pr2 0.0000 0.0000 0.5000
Pr3 0.0000 0.5000 0.2494
Dy1 0.5000 0.5000 0.0000
Y1 0.5000 0.5000 0.5000

(12)
# PBE-GGA Pr6Dy3Y2, optimized geometry
# - Fermi-level density of states: 1.503 states/eV/atom
# - Energy above the lowest structure with this stoichiometry: 279 meV/atom
# - Total moment: 0.000 μB per formula unit
# - Calculated formation energy: 295.0 meV/atom
data_Pr6Dy3Y2
_cell_length_a 4.7767
_cell_length_b 4.7767
_cell_length_c 34.5311
_cell_angle_alpha 90.00
_cell_angle_beta 90.00
_cell_angle_gamma 90.00
_space_group_name_H-M_alt 'I 4/m m m'
_space_group_IT_number 139
_space_group_name_Hall '-I 4 2'
loop_
_atom_site_label
_atom_site_fract_x
_atom_site_fract_y
_atom_site_fract_z
Pr1 0.0000 0.0000 0.2072
Pr2 0.0000 0.5000 0.1203
Dy1 0.0000 0.0000 0.3066
Dy2 0.0000 0.0000 0.5000
Y1 0.0000 0.0000 0.0449